Material: VC3I
Method: DFT, PBE
State: relaxed

formation energy without anion corrections: 3.306 eV/atom

Unit cell a=4.0987 b=4.0987 c=4.0987 alpha=90.00 beta=90.00 gamma=90.00
Space group Pm-3m (No. 221)
Asymmetric unit:
V 0.0000 0.0000 0.0000 x1
C 0.0000 0.5000 0.5000 x3
I 0.5000 0.5000 0.5000 x1

Material: V3CI
Method: DFT, PBE
State: relaxed

formation energy without anion corrections: 2.746 eV/atom

Unit cell a=4.9975 b=4.9975 c=4.9975 alpha=90.00 beta=90.00 gamma=90.00
Space group Pm-3m (No. 221)
Asymmetric unit:
V 0.0000 0.0000 0.5000 x3
C 0.5000 0.5000 0.5000 x1
I 0.0000 0.0000 0.0000 x1

Material: VC2I
Method: DFT, PBE
State: relaxed

formation energy without anion corrections: 2.453 eV/atom

Unit cell a=5.7769 b=5.7769 c=5.7769 alpha=90.00 beta=90.00 gamma=90.00
Space group Fm-3m (No. 225)
Asymmetric unit:
V 0.0000 0.0000 0.0000 x4
C 0.2500 0.2500 0.2500 x8
I 0.0000 0.0000 0.5000 x4

Material: VC3I
Method: DFT, PBE
State: relaxed

formation energy without anion corrections: 2.173 eV/atom

Unit cell a=4.0935 b=4.0935 c=4.0935 alpha=90.00 beta=90.00 gamma=90.00
Space group Pm-3m (No. 221)
Asymmetric unit:
V 0.0000 0.0000 0.0000 x1
C 0.0000 0.0000 0.5000 x3
I 0.5000 0.5000 0.5000 x1

Material: WCI2
Method: DFT, PBE
State: relaxed

formation energy without anion corrections: 2.208 eV/atom

Unit cell a=6.6957 b=6.6957 c=6.6957 alpha=90.00 beta=90.00 gamma=90.00
Space group Fm-3m (No. 225)
Asymmetric unit:
W 0.0000 0.0000 0.0000 x4
C 0.0000 0.0000 0.5000 x4
I 0.2500 0.2500 0.2500 x8

Material: WCI2
Method: DFT, PBE
State: relaxed

formation energy without anion corrections: 2.280 eV/atom

Unit cell a=6.2730 b=6.2730 c=10.1152 alpha=90.00 beta=90.00 gamma=90.00
Space group I-42d (No. 122)
Asymmetric unit:
W 0.0000 0.0000 0.0000 x4
C 0.0000 0.0000 0.5000 x4
I 0.2329 0.2500 0.6250 x8

Question: Which formula does entry 5 have?
Answer: WCI2